(1)
Entry from the Alexandria database: Ir5Pt after structural relaxation (GGA-PBE).

abc: 2.7499 2.7499 11.6787
angles: 90.00 90.00 90.00
Last column: nearest neighbours and their distance in Å.
Fractional positions:
1 Ir 0.0000 0.0000 0.0000  12 Ir 2.74-2.75
2 Ir 0.0000 0.0000 0.3271  8 Ir 2.71-2.75, 4 Pt 2.80
3 Ir 0.0000 0.0000 0.6729  8 Ir 2.71-2.75, 4 Pt 2.80
4 Ir 0.5000 0.5000 0.1659  12 Ir 2.71-2.75
5 Ir 0.5000 0.5000 0.8341  12 Ir 2.71-2.75
6 Pt 0.5000 0.5000 0.5000  4 Pt 2.75, 8 Ir 2.80

- energy relative to the lowest polymorph listed for this composition (eV per atom) = 0.000
- symmetry = P4/mmm, No. 123
- total magnetic moment (μB per formula unit) = 0.0

---

(2)
Entry from the Alexandria database: LaEr2Tm3 after structural relaxation (GGA-PBE).

abc: 11.5591 11.5591 10.1856
angles: 108.32 108.32 17.38
Last column: nearest neighbours and their distance in Å.
Fractional positions:
1 La 0.1824 0.1824 0.0414  3 Er 3.33-3.59, 5 Tm 3.44-3.67, 2 La 3.49
2 La 0.8176 0.8176 0.9586  3 Er 3.33-3.59, 5 Tm 3.44-3.67, 2 La 3.49
3 Er 0.1928 0.1928 0.3753  1 La 3.33, 4 Tm 3.34-3.45, 6 Er 3.48-3.55
4 Er 0.4332 0.4332 0.8561  5 Er 3.49-3.55, 3 Tm 3.51-3.57, 2 La 3.59
5 Er 0.5668 0.5668 0.1439  5 Er 3.49-3.55, 3 Tm 3.51-3.57, 2 La 3.59
6 Er 0.8072 0.8072 0.6247  1 La 3.33, 4 Tm 3.34-3.45, 6 Er 3.48-3.55
7 Tm 0.0592 0.0592 0.4435  8 Tm 3.26-3.60, 3 Er 3.34-3.57
8 Tm 0.1951 0.1951 0.7137  3 Er 3.43-3.45, 5 Tm 3.43-3.55, 3 La 3.44-3.56
9 Tm 0.4328 0.4328 0.2420  8 Tm 3.44-3.60, 1 Er 3.51, 2 La 3.67
10 Tm 0.5672 0.5672 0.7580  8 Tm 3.44-3.60, 1 Er 3.51, 2 La 3.67
11 Tm 0.8049 0.8049 0.2863  3 Er 3.43-3.45, 5 Tm 3.43-3.55, 3 La 3.44-3.56
12 Tm 0.9408 0.9408 0.5565  8 Tm 3.26-3.60, 3 Er 3.34-3.57

- energy relative to the lowest polymorph listed for this composition (eV per atom) = 0.101
- symmetry = C2/m, No. 12
- total magnetic moment (μB per formula unit) = 0.0

---

(3)
Entry from the Alexandria database: Tb5Nd8Pu after structural relaxation (GGA-PBE).

abc: 8.6289 8.6289 9.4824
angles: 122.73 122.73 62.17
Last column: nearest neighbours and their distance in Å.
Fractional positions:
1 Tb 0.0000 0.0000 0.0000  2 Nd 3.18, 2 Tb 3.44
2 Tb 0.2534 0.5471 0.0451  3 Tb 3.27-3.61, 4 Nd 3.45-3.55, 1 Pu 3.57
3 Tb 0.4529 0.7466 0.9549  3 Tb 3.27-3.61, 4 Nd 3.45-3.55, 1 Pu 3.57
4 Tb 0.6324 0.2897 0.7764  3 Tb 3.27-3.63, 6 Nd 3.36-3.64
5 Tb 0.7103 0.3676 0.2236  3 Tb 3.27-3.63, 6 Nd 3.36-3.64
6 Nd 0.0663 0.0037 0.3655  2 Tb 3.18-3.49, 2 Nd 3.30-3.47, 1 Pu 3.31
7 Nd 0.1604 0.4439 0.5704  4 Tb 3.36-3.76, 1 Pu 3.39, 5 Nd 3.47-3.71
8 Nd 0.4458 0.0570 0.8273  1 Pu 3.30, 4 Tb 3.43-3.55, 2 Nd 3.64-3.69
9 Nd 0.4476 0.1998 0.2911  1 Pu 3.17, 1 Tb 3.46
10 Nd 0.5561 0.8396 0.4296  4 Tb 3.36-3.76, 1 Pu 3.39, 5 Nd 3.47-3.71
11 Nd 0.8002 0.5524 0.7089  1 Pu 3.17, 1 Tb 3.46
12 Nd 0.9430 0.5542 0.1727  1 Pu 3.30, 4 Tb 3.43-3.55, 2 Nd 3.64-3.69
13 Nd 0.9963 0.9337 0.6345  2 Tb 3.18-3.49, 2 Nd 3.30-3.47, 1 Pu 3.31
14 Pu 0.3527 0.6473 0.5000  8 Nd 3.17-3.39

- E (Ha/atom) = -0.1906
- symmetry = C2, No. 5
- total magnetic moment (μB per formula unit) = 6.2

---

(4)
Entry from the Alexandria database: InFe2Pb after structural relaxation (GGA-PBE).

abc: 5.2941 5.2941 5.2941
angles: 135.17 135.17 65.26
Last column: nearest neighbours and their distance in Å.
Fractional positions:
1 In 0.0000 0.0000 0.0000  8 Fe 2.85-3.01, 4 Pb 3.01
2 Fe 0.5000 0.5000 0.0000  4 In 2.85, 4 Fe 3.01, 4 Pb 3.01
3 Fe 0.7500 0.2500 0.5000  4 Pb 2.85, 4 Fe 3.01, 4 In 3.01
4 Pb 0.2500 0.7500 0.5000  8 Fe 2.85-3.01, 4 In 3.01

- energy relative to the lowest polymorph listed for this composition (eV per atom) = 0.267
- symmetry = I-4m2, No. 119
- total magnetic moment (μB per formula unit) = 5.0

---

(5)
Entry from the Alexandria database: ReP2IrS after structural relaxation (GGA-PBE).

abc: 4.4965 4.4965 4.7456
angles: 90.00 90.00 90.00
Last column: nearest neighbours and their distance in Å.
Fractional positions:
1 Re 0.0000 0.0000 0.0000  4 S 3.18, 8 P 3.27
2 P 0.0000 0.5000 0.5000  2 Ir 2.25
3 P 0.5000 0.0000 0.5000  2 Ir 2.25
4 Ir 0.5000 0.5000 0.5000  4 P 2.25, 2 S 2.37
5 S 0.5000 0.5000 0.0000  2 Ir 2.37

- energy relative to the lowest polymorph listed for this composition (eV per atom) = 0.254
- symmetry = P4/mmm, No. 123
- total magnetic moment (μB per formula unit) = 2.1

---

(6)
Entry from the Alexandria database: Hf2ZrNb2 after structural relaxation (GGA-PBE).

abc: 7.6238 7.6238 3.6861
angles: 90.00 90.00 90.00
Last column: nearest neighbours and their distance in Å.
Fractional positions:
1 Hf 0.1472 0.3528 0.0000  6 Nb 2.84-2.93, 1 Hf 3.17
2 Hf 0.3528 0.8528 0.0000  6 Nb 2.84-2.93, 1 Hf 3.17
3 Hf 0.6472 0.1472 0.0000  6 Nb 2.84-2.93, 1 Hf 3.17
4 Hf 0.8528 0.6472 0.0000  6 Nb 2.84-2.93, 1 Hf 3.17
5 Zr 0.0000 0.0000 0.5000  4 Nb 2.89
6 Zr 0.5000 0.5000 0.5000  4 Nb 2.89
7 Nb 0.1522 0.6522 0.5000  6 Hf 2.84-2.93, 2 Zr 2.89
8 Nb 0.3478 0.1522 0.5000  6 Hf 2.84-2.93, 2 Zr 2.89
9 Nb 0.6522 0.8478 0.5000  6 Hf 2.84-2.93, 2 Zr 2.89
10 Nb 0.8478 0.3478 0.5000  6 Hf 2.84-2.93, 2 Zr 2.89

- energy relative to the lowest polymorph listed for this composition (eV per atom) = 0.000
- symmetry = P4/mbm, No. 127
- total magnetic moment (μB per formula unit) = 0.0

---

(7)
Entry from the Alexandria database: BeRe2As after structural relaxation (GGA-PBE).

abc: 4.2072 4.2072 4.2072
angles: 60.00 60.00 60.00
Last column: nearest neighbours and their distance in Å.
Fractional positions:
1 Be 0.0000 0.0000 0.0000  8 Re 2.58
2 Re 0.2500 0.2500 0.2500  4 As 2.58, 4 Be 2.58
3 Re 0.7500 0.7500 0.7500  4 As 2.58, 4 Be 2.58
4 As 0.5000 0.5000 0.5000  8 Re 2.58

- energy relative to the lowest polymorph listed for this composition (eV per atom) = 0.333
- symmetry = Fm-3m, No. 225
- total magnetic moment (μB per formula unit) = 0.0

---

(8)
Entry from the Alexandria database: Pm4HgGeTe2 after structural relaxation (GGA-PBE).

abc: 7.5529 4.3478 7.8027
angles: 90.00 108.32 90.00
Last column: nearest neighbours and their distance in Å.
Fractional positions:
1 Pm 0.2319 0.0000 0.2309  2 Ge 3.01, 1 Hg 3.10, 3 Te 3.13-3.25
2 Pm 0.2411 0.5000 0.7557  1 Ge 3.02, 3 Te 3.12-3.20, 2 Hg 3.14
3 Pm 0.7589 0.5000 0.2443  1 Ge 3.02, 3 Te 3.12-3.20, 2 Hg 3.14
4 Pm 0.7681 0.0000 0.7691  2 Ge 3.01, 1 Hg 3.10, 3 Te 3.13-3.25
5 Hg 0.5000 0.0000 0.0000  6 Pm 3.10-3.14
6 Ge 0.0000 0.5000 0.0000  6 Pm 3.01-3.02
7 Te 0.0000 0.0000 0.5000  6 Pm 3.12-3.13
8 Te 0.5000 0.5000 0.5000  6 Pm 3.20-3.25

- E (Ha/atom) = -0.1772
- symmetry = P2/m, No. 10
- total magnetic moment (μB per formula unit) = 0.0

---

(9)
Entry from the Alexandria database: Cu2PtBr6 after structural relaxation (GGA-PBE).

abc: 7.0665 6.6502 12.6521
angles: 90.00 98.83 90.00
Last column: nearest neighbours and their distance in Å.
Fractional positions:
1 Cu 0.1501 0.1197 0.1662  4 Br 2.41-2.44
2 Cu 0.1501 0.3803 0.6662  4 Br 2.41-2.44
3 Cu 0.8499 0.6197 0.3338  4 Br 2.41-2.44
4 Cu 0.8499 0.8803 0.8338  4 Br 2.41-2.44
5 Pt 0.5000 0.0000 0.0000  4 Br 2.44
6 Pt 0.5000 0.5000 0.5000  4 Br 2.44
7 Br 0.0606 0.0598 0.7326  2 Cu 2.41-2.42
8 Br 0.0606 0.4402 0.2326  2 Cu 2.41-2.42
9 Br 0.2317 0.6699 0.5632  1 Cu 2.44, 1 Pt 2.44
10 Br 0.2317 0.8301 0.0632  1 Cu 2.44, 1 Pt 2.44
11 Br 0.4113 0.2090 0.5994  1 Cu 2.43, 1 Pt 2.44
12 Br 0.4113 0.2910 0.0994  1 Cu 2.43, 1 Pt 2.44
13 Br 0.5887 0.7090 0.9006  1 Cu 2.43, 1 Pt 2.44
14 Br 0.5887 0.7910 0.4006  1 Cu 2.43, 1 Pt 2.44
15 Br 0.7683 0.1699 0.9368  1 Cu 2.44, 1 Pt 2.44
16 Br 0.7683 0.3301 0.4368  1 Cu 2.44, 1 Pt 2.44
17 Br 0.9394 0.5598 0.7674  2 Cu 2.41-2.42
18 Br 0.9394 0.9402 0.2674  2 Cu 2.41-2.42

- energy relative to the lowest polymorph listed for this composition (eV per atom) = 0.023
- symmetry = P2_1/c, No. 14
- total magnetic moment (μB per formula unit) = 0.0

---

(10)
Entry from the Alexandria database: Nd2Ga2CuNi5 after structural relaxation (GGA-PBE).

abc: 9.8665 9.8665 3.2619
angles: 90.00 90.00 90.00
Last column: nearest neighbours and their distance in Å.
Fractional positions:
1 Nd 0.1755 0.3245 0.0000  3 Ga 2.78-3.01, 6 Ni 2.94-3.08
2 Nd 0.3245 0.8245 0.0000  3 Ga 2.78-3.01, 6 Ni 2.94-3.08
3 Nd 0.6755 0.1755 0.0000  3 Ga 2.78-3.01, 6 Ni 2.94-3.08
4 Nd 0.8245 0.6755 0.0000  3 Ga 2.78-3.01, 6 Ni 2.94-3.08
5 Ga 0.1251 0.6251 0.0000  6 Ni 2.39-2.53
6 Ga 0.3749 0.1251 0.0000  6 Ni 2.39-2.53
7 Ga 0.6251 0.8749 0.0000  6 Ni 2.39-2.53
8 Ga 0.8749 0.3749 0.0000  6 Ni 2.39-2.53
9 Cu 0.0000 0.0000 0.0000  8 Ni 2.56
10 Cu 0.5000 0.5000 0.0000  8 Ni 2.56
11 Ni 0.0000 0.5000 0.5000  4 Ga 2.39
12 Ni 0.0541 0.8081 0.5000  2 Ga 2.53, 2 Cu 2.56, 2 Ni 2.78
13 Ni 0.1919 0.0541 0.5000  2 Ga 2.53, 2 Cu 2.56, 2 Ni 2.78
14 Ni 0.3081 0.5541 0.5000  2 Ga 2.53, 2 Cu 2.56, 2 Ni 2.78
15 Ni 0.4459 0.3081 0.5000  2 Ga 2.53, 2 Cu 2.56, 2 Ni 2.78
16 Ni 0.5000 0.0000 0.5000  4 Ga 2.39
17 Ni 0.5541 0.6919 0.5000  2 Ga 2.53, 2 Cu 2.56, 2 Ni 2.78
18 Ni 0.6919 0.4459 0.5000  2 Ga 2.53, 2 Cu 2.56, 2 Ni 2.78
19 Ni 0.8081 0.9459 0.5000  2 Ga 2.53, 2 Cu 2.56, 2 Ni 2.78
20 Ni 0.9459 0.1919 0.5000  2 Ga 2.53, 2 Cu 2.56, 2 Ni 2.78

- E (Ha/atom) = -0.1853
- symmetry = P4/mbm, No. 127
- total magnetic moment (μB per formula unit) = 0.0

---

(11)
Entry from the Alexandria database: Ac4AlSiI2 after structural relaxation (GGA-PBE).

abc: 8.2111 4.6114 8.5122
angles: 90.00 108.10 90.00
Last column: nearest neighbours and their distance in Å.
Fractional positions:
1 Ac 0.2291 0.0000 0.2027  2 Si 3.13, 1 Al 3.21
2 Ac 0.2553 0.5000 0.7897  1 Si 3.15, 2 Al 3.21
3 Ac 0.7447 0.5000 0.2103  1 Si 3.15, 2 Al 3.21
4 Ac 0.7709 0.0000 0.7973  2 Si 3.13, 1 Al 3.21
5 Al 0.5000 0.0000 0.0000  6 Ac 3.21
6 Si 0.0000 0.5000 0.0000  6 Ac 3.13-3.15
7 I 0.0000 0.0000 0.5000  6 Ac 3.55-3.59
8 I 0.5000 0.5000 0.5000  6 Ac 3.63

- E (Ha/atom) = -0.1590
- symmetry = P2/m, No. 10
- total magnetic moment (μB per formula unit) = 0.0

---

(12)
Entry from the Alexandria database: MnSn2Pd8 after structural relaxation (GGA-PBE).

abc: 7.4361 7.4361 6.4200
angles: 108.54 108.54 32.39
Last column: nearest neighbours and their distance in Å.
Fractional positions:
1 Mn 0.0000 0.0000 0.0000  12 Pd 2.69-2.93
2 Sn 0.2871 0.2871 0.3362  9 Pd 2.65-2.82
3 Sn 0.7129 0.7129 0.6638  9 Pd 2.65-2.82
4 Pd 0.0942 0.0942 0.4508  2 Sn 2.74, 1 Mn 2.76, 8 Pd 2.78-3.05
5 Pd 0.1723 0.1723 0.9170  3 Sn 2.65-2.81, 1 Mn 2.69, 6 Pd 2.82-2.93
6 Pd 0.3533 0.3533 0.7979  7 Pd 2.77-2.93, 3 Sn 2.80-2.82, 2 Mn 2.93
7 Pd 0.4641 0.4641 0.2652  1 Sn 2.71, 7 Pd 2.77-2.89, 2 Mn 2.84
8 Pd 0.5359 0.5359 0.7348  1 Sn 2.71, 7 Pd 2.77-2.89, 2 Mn 2.84
9 Pd 0.6467 0.6467 0.2021  7 Pd 2.77-2.93, 3 Sn 2.80-2.82, 2 Mn 2.93
10 Pd 0.8277 0.8277 0.0830  3 Sn 2.65-2.81, 1 Mn 2.69, 6 Pd 2.82-2.93
11 Pd 0.9058 0.9058 0.5492  2 Sn 2.74, 1 Mn 2.76, 8 Pd 2.78-3.05

- energy relative to the lowest polymorph listed for this composition (eV per atom) = 0.022
- symmetry = C2/m, No. 12
- total magnetic moment (μB per formula unit) = 4.5